[1]
A plane-wave DFT calculation with PBE was carried out for an optimized crystal structure of GaSiSN2.

Results
Relative energy among the computed polymorphs (eV/atom): 1.755

Geometry as CIF:
```
data_GaSiSN2
_space_group_name_H-M_alt 'P 1'
_space_group_IT_number 1
_cell_length_a 3.725
_cell_length_b 3.725
_cell_length_c 5.266
_cell_angle_alpha 90.00
_cell_angle_beta 90.00
_cell_angle_gamma 90.00
loop_
_space_group_symop_operation_xyz
'x,y,z'
loop_
_atom_site_label
_atom_site_type_symbol
_atom_site_fract_x
_atom_site_fract_y
_atom_site_fract_z
_atom_site_occupancy
N1 N 0.000 0.500 0.000 1
N2 N 0.500 0.000 0.000 1
S1 S 0.000 0.000 0.500 1
Ga1 Ga 0.000 0.000 0.000 1
Si1 Si 0.500 0.500 0.500 1
```

=====

[2]
A plane-wave DFT calculation with PBE was carried out for an optimized crystal structure of GaSiSN2.

Results
Relative energy among the computed polymorphs (eV/atom): 0.334

Geometry as CIF:
```
data_GaSiSN2
_space_group_name_H-M_alt 'P 1'
_space_group_IT_number 1
_cell_length_a 3.455
_cell_length_b 3.559
_cell_length_c 5.837
_cell_angle_alpha 72.31
_cell_angle_beta 89.12
_cell_angle_gamma 87.01
loop_
_space_group_symop_operation_xyz
'x,y,z'
loop_
_atom_site_label
_atom_site_type_symbol
_atom_site_fract_x
_atom_site_fract_y
_atom_site_fract_z
_atom_site_occupancy
N1 N 0.587 0.568 0.641 1
N2 N 0.087 0.091 0.596 1
Ga1 Ga 0.087 0.684 0.408 1
S1 S 0.587 0.831 0.116 1
Si1 Si 0.587 0.028 0.722 1
```

=====

[3]
A plane-wave DFT calculation with PBE was carried out for an optimized crystal structure of GaSiSN2.

Results
Relative energy among the computed polymorphs (eV/atom): 0.770

Geometry as CIF:
```
data_GaSiSN2
_space_group_name_H-M_alt 'P 1'
_space_group_IT_number 1
_cell_length_a 3.454
_cell_length_b 3.454
_cell_length_c 5.948
_cell_angle_alpha 90.00
_cell_angle_beta 90.00
_cell_angle_gamma 90.00
loop_
_space_group_symop_operation_xyz
'x,y,z'
loop_
_atom_site_label
_atom_site_type_symbol
_atom_site_fract_x
_atom_site_fract_y
_atom_site_fract_z
_atom_site_occupancy
Ga1 Ga 0.500 0.500 0.500 1
Si1 Si 0.000 0.000 0.000 1
S1 S 0.000 0.000 0.500 1
N1 N 0.000 0.500 0.000 1
N2 N 0.500 0.000 0.000 1
```

=====

[4]
A plane-wave DFT calculation with PBE was carried out for an optimized crystal structure of GaSiSN2.

Results
Relative energy among the computed polymorphs (eV/atom): 0.280

Geometry as CIF:
```
data_GaSiSN2
_space_group_name_H-M_alt 'P 1'
_space_group_IT_number 1
_cell_length_a 2.834
_cell_length_b 2.986
_cell_length_c 8.278
_cell_angle_alpha 90.00
_cell_angle_beta 90.21
_cell_angle_gamma 90.00
loop_
_space_group_symop_operation_xyz
'x,y,z'
loop_
_atom_site_label
_atom_site_type_symbol
_atom_site_fract_x
_atom_site_fract_y
_atom_site_fract_z
_atom_site_occupancy
S1 S 0.622 0.500 0.017 1
Ga1 Ga 0.116 0.500 0.386 1
N1 N 0.118 0.000 0.575 1
N2 N 0.620 0.500 0.813 1
Si1 Si 0.619 0.000 0.695 1
```

=====

Number 1: raw formation energy 1.2937 eV per atom, total DFT energy (no corrections) -4.552 eV per atom, Fermi-level density of states 2.7 states/eV per cell. Number 2: raw formation energy -0.1267 eV per atom, total DFT energy (no corrections) -5.972 eV per atom, Fermi-level density of states 1.4 states/eV per cell. Number 3: raw formation energy 0.3092 eV per atom, total DFT energy (no corrections) -5.536 eV per atom, Fermi-level density of states 1.8 states/eV per cell. Number 4: raw formation energy -0.1813 eV per atom, total DFT energy (no corrections) -6.027 eV per atom, Fermi-level density of states 1.0 states/eV per cell.